The following is a DFT calculation (PBE) of a relaxed structure of LaYFe2Ge2C.

It has space group Cm (No. 8), with a = 10.9255 Å, b = 4.0510 Å, c = 7.0385 Å, α = 90.00°, β = 129.09° and γ = 90.00°. The inequivalent atoms are La at (0.0000, 0.0000, 0.0000), Y at (0.1130, 0.0000, 0.5811), Fe at (0.2529, 0.5000, 0.3838), Fe at (0.3675, 0.0000, 0.2125), Ge at (0.2287, 0.5000, 0.0192), Ge at (0.3886, 0.0000, 0.5690) and C at (0.0634, 0.5000, 0.3103).

As for the total energy: -0.5295 Ry per atom.